[1]
DFT (PBE-GGA) results for Sc2NbB2Rh5 after structural relaxation.

The structure in CIF format:
```
data_Sc2NbB2Rh5
_cell_length_a 9.350
_cell_length_b 9.350
_cell_length_c 3.210
_cell_angle_alpha 90.00
_cell_angle_beta 90.00
_cell_angle_gamma 90.00
_symmetry_space_group_name_H-M 'P 4/m b m'
_symmetry_Int_Tables_number 127
_symmetry_space_group_name_Hall '-P 4 2ab'
loop_
_atom_site_label
_atom_site_type_symbol
_atom_site_fract_x
_atom_site_fract_y
_atom_site_fract_z
Sc1 Sc 0.174 0.326 0.000
Nb1 Nb 0.000 0.000 0.000
B1 B 0.120 0.620 0.000
Rh1 Rh 0.000 0.500 0.500
Rh2 Rh 0.072 0.781 0.500
```

Values from the calculation:
Total energy (eV/f.u.): -80.37
Magnetization (μB per formula unit): 0.00

***

[2]
DFT (PBE-GGA) results for Cs12K7S after structural relaxation.

The structure in CIF format:
```
data_Cs12K7S
_cell_length_a 25.1519
_cell_length_b 25.1519
_cell_length_c 10.7426
_cell_angle_alpha 90.00
_cell_angle_beta 90.00
_cell_angle_gamma 120.00
_symmetry_space_group_name_H-M 'R -3 m'
_symmetry_Int_Tables_number 166
_symmetry_space_group_name_Hall '-R 3 2"'
loop_
_atom_site_label
_atom_site_type_symbol
_atom_site_fract_x
_atom_site_fract_y
_atom_site_fract_z
Cs1 Cs 0.0000 0.4051 0.0000
Cs2 Cs 0.1064 0.5532 0.5639
K1 K 0.0000 0.0000 0.0000
K2 K 0.0604 0.1208 0.3492
S1 S 0.0000 0.0000 0.5000
```

Values from the calculation:
Total energy (eV/f.u.): -24.18
Magnetization (μB per formula unit): 0.00
Formation energy (no corrections) (meV/atom): -106.3

***

[3]
DFT (PBE-GGA) results for HoSnO4 after structural relaxation.

The structure in CIF format:
```
data_HoSnO4
_cell_length_a 5.431
_cell_length_b 5.431
_cell_length_c 10.491
_cell_angle_alpha 90.00
_cell_angle_beta 90.00
_cell_angle_gamma 90.00
_symmetry_space_group_name_H-M 'I 41/a'
_symmetry_Int_Tables_number 88
loop_
_symmetry_equiv_pos_as_xyz
'x,y,z'
'-x,-y,-z'
'-y+3/4,x+1/4,z+1/4'
'y+3/4,-x+1/4,-z+1/4'
'-x+1/2,-y,z+1/2'
'x+1/2,y,-z+1/2'
'y+3/4,-x+3/4,z+3/4'
'-y+3/4,x+3/4,-z+3/4'
'x+1/2,y+1/2,z+1/2'
'-x+1/2,-y+1/2,-z+1/2'
'-y+1/4,x+3/4,z+3/4'
'y+1/4,-x+3/4,-z+3/4'
'-x,-y+1/2,z'
'x,y+1/2,-z'
'y+1/4,-x+1/4,z+1/4'
'-y+1/4,x+1/4,-z+1/4'
loop_
_atom_site_label
_atom_site_type_symbol
_atom_site_fract_x
_atom_site_fract_y
_atom_site_fract_z
Ho1 Ho 0.000 0.250 0.125
Sn1 Sn 0.000 0.250 0.625
O1 O 0.199 0.497 0.280
```

Values from the calculation:
Total energy (eV/f.u.): -41.34
Magnetization (μB per formula unit): 1.02
Formation energy (no corrections) (meV/atom): -2154.2

***

[4]
DFT (PBE-GGA) results for LiCaSe2 after structural relaxation.

The structure in CIF format:
```
data_LiCaSe2
_cell_length_a 3.488
_cell_length_b 4.587
_cell_length_c 5.871
_cell_angle_alpha 90.00
_cell_angle_beta 90.00
_cell_angle_gamma 90.00
_symmetry_space_group_name_H-M 'P m m m'
_symmetry_Int_Tables_number 47
_symmetry_space_group_name_Hall '-P 2 2'
loop_
_atom_site_label
_atom_site_type_symbol
_atom_site_fract_x
_atom_site_fract_y
_atom_site_fract_z
Li1 Li 0.000 0.000 0.000
Ca1 Ca 0.500 0.500 0.500
Se1 Se 0.000 0.000 0.500
Se2 Se 0.500 0.500 0.000
```

Values from the calculation:
Total energy (eV/f.u.): -15.83
Magnetization (μB per formula unit): 0.00
Formation energy (no corrections) (meV/atom): -1235.8

***

[5]
DFT (PBE-GGA) results for Rb2YReF6 after structural relaxation.

The structure in CIF format:
```
data_Rb2YReF6
_cell_length_a 8.911
_cell_length_b 8.911
_cell_length_c 8.911
_cell_angle_alpha 90.00
_cell_angle_beta 90.00
_cell_angle_gamma 90.00
_symmetry_space_group_name_H-M 'F m -3 m'
_symmetry_Int_Tables_number 225
_symmetry_space_group_name_Hall '-F 4 2 3'
loop_
_atom_site_label
_atom_site_type_symbol
_atom_site_fract_x
_atom_site_fract_y
_atom_site_fract_z
Rb1 Rb 0.250 0.250 0.250
Y1 Y 0.000 0.000 0.000
Re1 Re 0.000 0.000 0.500
F1 F 0.000 0.000 0.246
```

Values from the calculation:
Total energy (eV/f.u.): -54.74
Magnetization (μB per formula unit): 0.28
Formation energy (no corrections) (meV/atom): -2266.0

***

[6]
DFT (PBE-GGA) results for Li4AgPb10 after structural relaxation.

The structure in CIF format:
```
data_Li4AgPb10
_cell_length_a 10.962
_cell_length_b 10.962
_cell_length_c 6.821
_cell_angle_alpha 90.00
_cell_angle_beta 90.00
_cell_angle_gamma 90.00
_symmetry_space_group_name_H-M 'I 4/m'
_symmetry_Int_Tables_number 87
_symmetry_space_group_name_Hall '-I 4'
loop_
_atom_site_label
_atom_site_type_symbol
_atom_site_fract_x
_atom_site_fract_y
_atom_site_fract_z
Li1 Li 0.100 0.299 0.000
Ag1 Ag 0.000 0.000 0.500
Pb1 Pb 0.000 0.500 0.250
Pb2 Pb 0.100 0.796 0.248
```

Values from the calculation:
Total energy (eV/f.u.): -47.99
Magnetization (μB per formula unit): 0.00

***

[7]
DFT (PBE-GGA) results for KHgOs2 after structural relaxation.

The structure in CIF format:
```
data_KHgOs2
_cell_length_a 3.882
_cell_length_b 3.882
_cell_length_c 10.418
_cell_angle_alpha 90.00
_cell_angle_beta 90.00
_cell_angle_gamma 90.00
_symmetry_space_group_name_H-M 'I 4/m m m'
_symmetry_Int_Tables_number 139
_symmetry_space_group_name_Hall '-I 4 2'
loop_
_atom_site_label
_atom_site_type_symbol
_atom_site_fract_x
_atom_site_fract_y
_atom_site_fract_z
K1 K 0.000 0.000 0.000
Hg1 Hg 0.000 0.000 0.500
Os1 Os 0.000 0.500 0.250
```

Values from the calculation:
Total energy (eV/f.u.): -17.59
Magnetization (μB per formula unit): 0.00

***

[8]
DFT (PBE-GGA) results for NdTeI after structural relaxation.

The structure in CIF format:
```
data_NdTeI
_cell_length_a 3.944
_cell_length_b 3.944
_cell_length_c 14.667
_cell_angle_alpha 90.00
_cell_angle_beta 90.00
_cell_angle_gamma 90.00
_symmetry_space_group_name_H-M 'I 4 m m'
_symmetry_Int_Tables_number 107
_symmetry_space_group_name_Hall 'I 4 -2'
loop_
_atom_site_label
_atom_site_type_symbol
_atom_site_fract_x
_atom_site_fract_y
_atom_site_fract_z
Nd1 Nd 0.000 0.000 0.000
Te1 Te 0.000 0.000 0.390
I1 I 0.000 0.000 0.645
```

Values from the calculation:
Total energy (eV/f.u.): -13.11
Magnetization (μB per formula unit): 0.00
ΔE to the lowest computed polymorph (eV/atom): 0.212
Formation energy (no corrections) (meV/atom): -1215.5

***

[9]
DFT (PBE-GGA) results for CsRbMgSi2 after structural relaxation.

The structure in CIF format:
```
data_CsRbMgSi2
_cell_length_a 5.998
_cell_length_b 5.998
_cell_length_c 6.457
_cell_angle_alpha 90.00
_cell_angle_beta 90.00
_cell_angle_gamma 90.00
_symmetry_space_group_name_H-M 'P 4/m m m'
_symmetry_Int_Tables_number 123
_symmetry_space_group_name_Hall '-P 4 2'
loop_
_atom_site_label
_atom_site_type_symbol
_atom_site_fract_x
_atom_site_fract_y
_atom_site_fract_z
Cs1 Cs 0.000 0.000 0.000
Rb1 Rb 0.000 0.000 0.500
Mg1 Mg 0.500 0.500 0.500
Si1 Si 0.000 0.500 0.000
```

Values from the calculation:
Total energy (eV/f.u.): -6.91
Magnetization (μB per formula unit): 0.98
Formation energy (no corrections) (meV/atom): 1470.5

***

[10]
DFT (PBE-GGA) results for ReC after structural relaxation.

The structure in CIF format:
```
data_ReC
_cell_length_a 5.677
_cell_length_b 5.677
_cell_length_c 5.677
_cell_angle_alpha 90.00
_cell_angle_beta 90.00
_cell_angle_gamma 90.00
_symmetry_space_group_name_H-M 'P m -3 n'
_symmetry_Int_Tables_number 223
_symmetry_space_group_name_Hall '-P 4n 2 3'
loop_
_atom_site_label
_atom_site_type_symbol
_atom_site_fract_x
_atom_site_fract_y
_atom_site_fract_z
Re1 Re 0.000 0.250 0.500
C1 C 0.000 0.500 0.250
```

Values from the calculation:
Total energy (eV/f.u.): -20.05
Magnetization (μB per formula unit): 0.18
ΔE to the lowest computed polymorph (eV/atom): 0.571

***

[11]
DFT (PBE-GGA) results for Gd2Mn17C3 after structural relaxation.

The structure in CIF format:
```
data_Gd2Mn17C3
_cell_length_a 8.5954
_cell_length_b 8.5954
_cell_length_c 12.5223
_cell_angle_alpha 90.00
_cell_angle_beta 90.00
_cell_angle_gamma 120.00
_symmetry_space_group_name_H-M 'R -3 m'
_symmetry_Int_Tables_number 166
_symmetry_space_group_name_Hall '-R 3 2"'
loop_
_atom_site_label
_atom_site_type_symbol
_atom_site_fract_x
_atom_site_fract_y
_atom_site_fract_z
Gd1 Gd 0.0000 0.0000 0.1489
Mn1 Mn 0.0000 0.0000 0.4063
Mn2 Mn 0.0000 0.2795 0.5000
Mn3 Mn 0.0000 0.5000 0.0000
Mn4 Mn 0.0200 0.5100 0.3478
C1 C 0.0000 0.5000 0.5000
```

Values from the calculation:
Total energy (eV/f.u.): -213.50
Magnetization (μB per formula unit): 18.29

***

[12]
DFT (PBE-GGA) results for NiAs2P after structural relaxation.

The structure in CIF format:
```
data_NiAs2P
_cell_length_a 5.025
_cell_length_b 5.025
_cell_length_c 5.087
_cell_angle_alpha 90.00
_cell_angle_beta 90.00
_cell_angle_gamma 90.00
_symmetry_space_group_name_H-M 'I 4/m m m'
_symmetry_Int_Tables_number 139
_symmetry_space_group_name_Hall '-I 4 2'
loop_
_atom_site_label
_atom_site_type_symbol
_atom_site_fract_x
_atom_site_fract_y
_atom_site_fract_z
Ni1 Ni 0.000 0.000 0.000
As1 As 0.000 0.500 0.000
P1 P 0.000 0.000 0.500
```

Values from the calculation:
Total energy (eV/f.u.): -20.00
Magnetization (μB per formula unit): 0.00

***

[13]
DFT (PBE-GGA) results for Sc4Hg2H after structural relaxation.

The structure in CIF format:
```
data_Sc4Hg2H
_cell_length_a 4.298
_cell_length_b 4.298
_cell_length_c 15.202
_cell_angle_alpha 90.00
_cell_angle_beta 90.00
_cell_angle_gamma 90.00
_symmetry_space_group_name_H-M 'I 4/m m m'
_symmetry_Int_Tables_number 139
_symmetry_space_group_name_Hall '-I 4 2'
loop_
_atom_site_label
_atom_site_type_symbol
_atom_site_fract_x
_atom_site_fract_y
_atom_site_fract_z
Sc1 Sc 0.000 0.000 0.178
Sc2 Sc 0.000 0.500 0.000
Hg1 Hg 0.000 0.000 0.365
H1 H 0.000 0.000 0.000
```

Values from the calculation:
Total energy (eV/f.u.): -31.39
Magnetization (μB per formula unit): 0.82

***

[14]
DFT (PBE-GGA) results for Tb3ErTm4 after structural relaxation.

The structure in CIF format:
```
data_Tb3ErTm4
_cell_length_a 11.114
_cell_length_b 7.189
_cell_length_c 6.215
_cell_angle_alpha 90.00
_cell_angle_beta 90.00
_cell_angle_gamma 90.00
_symmetry_space_group_name_H-M 'P m n 21'
_symmetry_Int_Tables_number 31
_symmetry_space_group_name_Hall 'P 2ac -2'
loop_
_atom_site_label
_atom_site_type_symbol
_atom_site_fract_x
_atom_site_fract_y
_atom_site_fract_z
Tb1 Tb 0.000 0.127 0.000
Tb2 Tb 0.250 0.126 0.333
Er1 Er 0.000 0.873 0.499
Tm1 Tm 0.000 0.376 0.501
Tm2 Tm 0.000 0.623 0.000
Tm3 Tm 0.249 0.623 0.333
```

Values from the calculation:
Total energy (eV/f.u.): -36.32
Magnetization (μB per formula unit): 0.00
ΔE to the lowest computed polymorph (eV/atom): 0.000

***

[15]
DFT (PBE-GGA) results for CaSm2AgSe4 after structural relaxation.

The structure in CIF format:
```
data_CaSm2AgSe4
_cell_length_a 7.181
_cell_length_b 4.178
_cell_length_c 7.319
_cell_angle_alpha 90.00
_cell_angle_beta 109.95
_cell_angle_gamma 90.00
_symmetry_space_group_name_H-M 'P 1 2/m 1'
_symmetry_Int_Tables_number 10
_symmetry_space_group_name_Hall '-P 2y'
loop_
_atom_site_label
_atom_site_type_symbol
_atom_site_fract_x
_atom_site_fract_y
_atom_site_fract_z
Ca1 Ca 0.000 0.000 0.000
Sm1 Sm 0.000 0.500 0.500
Sm2 Sm 0.500 0.000 0.500
Ag1 Ag 0.500 0.500 0.000
Se1 Se 0.249 0.500 0.251
Se2 Se 0.253 0.000 0.751
```

Values from the calculation:
Total energy (eV/f.u.): -40.44
Magnetization (μB per formula unit): 0.00
Formation energy (no corrections) (meV/atom): -1526.3

***

[16]
DFT (PBE-GGA) results for Mg12Tl6In after structural relaxation.

The structure in CIF format:
```
data_Mg12Tl6In
_cell_length_a 11.2244
_cell_length_b 11.2244
_cell_length_c 13.1243
_cell_angle_alpha 90.00
_cell_angle_beta 90.00
_cell_angle_gamma 120.00
_symmetry_space_group_name_H-M 'R -3'
_symmetry_Int_Tables_number 148
_symmetry_space_group_name_Hall '-R 3'
loop_
_atom_site_label
_atom_site_type_symbol
_atom_site_fract_x
_atom_site_fract_y
_atom_site_fract_z
Mg1 Mg 0.0252 0.8423 0.3169
Mg2 Mg 0.0604 0.2132 0.9139
Tl1 Tl 0.0017 0.5787 0.1974
In1 In 0.0000 0.0000 0.5000
```

Values from the calculation:
Total energy (eV/f.u.): -35.43
Magnetization (μB per formula unit): 0.00
ΔE to the lowest computed polymorph (eV/atom): 0.058

***

[17]
DFT (PBE-GGA) results for Y3IrO7 after structural relaxation.

The structure in CIF format:
```
data_Y3IrO7
_cell_length_a 7.535
_cell_length_b 10.549
_cell_length_c 7.418
_cell_angle_alpha 90.00
_cell_angle_beta 90.00
_cell_angle_gamma 90.00
_symmetry_space_group_name_H-M 'C 2 2 21'
_symmetry_Int_Tables_number 20
_symmetry_space_group_name_Hall 'C 2c 2'
loop_
_atom_site_label
_atom_site_type_symbol
_atom_site_fract_x
_atom_site_fract_y
_atom_site_fract_z
Y1 Y 0.025 0.000 0.000
Y2 Y 0.234 0.267 0.754
Ir1 Ir 0.000 0.500 0.000
O1 O 0.000 0.131 0.250
O2 O 0.000 0.137 0.750
O3 O 0.000 0.428 0.750
O4 O 0.188 0.374 0.032
O5 O 0.202 0.378 0.475
```

Values from the calculation:
Total energy (eV/f.u.): -92.16
Magnetization (μB per formula unit): 2.01
Formation energy (no corrections) (meV/atom): -2654.1

***

[18]
DFT (PBE-GGA) results for Tb2InTe after structural relaxation.

The structure in CIF format:
```
data_Tb2InTe
_cell_length_a 6.209
_cell_length_b 6.209
_cell_length_c 13.899
_cell_angle_alpha 90.00
_cell_angle_beta 116.49
_cell_angle_gamma 90.00
_symmetry_space_group_name_H-M 'P 1 2/c 1'
_symmetry_Int_Tables_number 13
_symmetry_space_group_name_Hall '-P 2yc'
loop_
_atom_site_label
_atom_site_type_symbol
_atom_site_fract_x
_atom_site_fract_y
_atom_site_fract_z
Tb1 Tb 0.121 0.248 0.122
Tb2 Tb 0.372 0.254 0.872
In1 In 0.375 0.246 0.375
Te1 Te 0.125 0.252 0.625
```

Values from the calculation:
Total energy (eV/f.u.): -18.41
Magnetization (μB per formula unit): 0.00
ΔE to the lowest computed polymorph (eV/atom): 0.113
Formation energy (no corrections) (meV/atom): -816.7

***

[19]
DFT (PBE-GGA) results for DyTiCdGa after structural relaxation.

The structure in CIF format:
```
data_DyTiCdGa
_cell_length_a 6.919
_cell_length_b 6.919
_cell_length_c 6.919
_cell_angle_alpha 90.00
_cell_angle_beta 90.00
_cell_angle_gamma 90.00
_symmetry_space_group_name_H-M 'F -4 3 m'
_symmetry_Int_Tables_number 216
_symmetry_space_group_name_Hall 'F -4 2 3'
loop_
_atom_site_label
_atom_site_type_symbol
_atom_site_fract_x
_atom_site_fract_y
_atom_site_fract_z
Dy1 Dy 0.000 0.000 0.000
Ti1 Ti 0.000 0.000 0.500
Cd1 Cd 0.250 0.250 0.250
Ga1 Ga 0.250 0.250 0.750
```

Values from the calculation:
Total energy (eV/f.u.): -17.28
Magnetization (μB per formula unit): 0.00

***

[20]
DFT (PBE-GGA) results for KMn2Zn after structural relaxation.

The structure in CIF format:
```
data_KMn2Zn
_cell_length_a 2.856
_cell_length_b 4.406
_cell_length_c 7.404
_cell_angle_alpha 90.00
_cell_angle_beta 100.80
_cell_angle_gamma 90.00
_symmetry_space_group_name_H-M 'P 1 2/m 1'
_symmetry_Int_Tables_number 10
_symmetry_space_group_name_Hall '-P 2y'
loop_
_atom_site_label
_atom_site_type_symbol
_atom_site_fract_x
_atom_site_fract_y
_atom_site_fract_z
K1 K 0.000 0.000 0.000
Mn1 Mn 0.281 0.500 0.649
Zn1 Zn 0.500 0.000 0.500
```

Values from the calculation:
Total energy (eV/f.u.): -18.06
Magnetization (μB per formula unit): 7.56

***

[21]
DFT (PBE-GGA) results for SnH6N2 after structural relaxation.

The structure in CIF format:
```
data_SnH6N2
_cell_length_a 12.781
_cell_length_b 9.092
_cell_length_c 4.683
_cell_angle_alpha 90.00
_cell_angle_beta 109.55
_cell_angle_gamma 90.00
_symmetry_space_group_name_H-M 'C 1 2/c 1'
_symmetry_Int_Tables_number 15
_symmetry_space_group_name_Hall '-C 2yc'
loop_
_atom_site_label
_atom_site_type_symbol
_atom_site_fract_x
_atom_site_fract_y
_atom_site_fract_z
Sn1 Sn 0.000 0.086 0.250
H1 H 0.099 0.335 0.679
H2 H 0.176 0.463 0.593
H3 H 0.233 0.310 0.776
N1 N 0.173 0.388 0.758
```

Values from the calculation:
Total energy (eV/f.u.): -42.51
Magnetization (μB per formula unit): 0.00